Entry 1:
# TaZnPd2 (GGA-PBE, relaxed)
data_TaZnPd2
_symmetry_space_group_name_H-M 'I -4 2 d'
_symmetry_Int_Tables_number 122
_symmetry_space_group_name_Hall 'I -4 2bw'
_cell_length_a 7.0448
_cell_length_b 7.0448
_cell_length_c 5.5078
_cell_angle_alpha 90.00
_cell_angle_beta 90.00
_cell_angle_gamma 90.00
loop_
_atom_site_label
_atom_site_type_symbol
_atom_site_fract_x
_atom_site_fract_y
_atom_site_fract_z
Ta1 Ta 0.0000 0.0000 0.0000
Zn1 Zn 0.0000 0.0000 0.5000
Pd1 Pd 0.2446 0.2500 0.6250
# Energy ... -0.42150 Ry per atom
# M_tot ... 0.000 μB per atom



Entry 2:
# AlCo2HPt (GGA-PBE, relaxed)
data_AlCo2HPt
_symmetry_space_group_name_H-M 'P 4/m m m'
_symmetry_Int_Tables_number 123
_symmetry_space_group_name_Hall '-P 4 2'
_cell_length_a 3.6154
_cell_length_b 3.6154
_cell_length_c 4.0026
_cell_angle_alpha 90.00
_cell_angle_beta 90.00
_cell_angle_gamma 90.00
loop_
_atom_site_label
_atom_site_type_symbol
_atom_site_fract_x
_atom_site_fract_y
_atom_site_fract_z
Al1 Al 0.0000 0.0000 0.0000
Co1 Co 0.0000 0.5000 0.5000
H1 H 0.0000 0.0000 0.5000
Pt1 Pt 0.5000 0.5000 0.0000
# Offset from the most stable computed form ... 15 meV per atom
# M_tot ... 0.418 μB per atom



Entry 3:
# Pa3PtSe6 (GGA-PBE, relaxed)
data_Pa3PtSe6
_symmetry_space_group_name_H-M 'C m c 21'
_symmetry_Int_Tables_number 36
_cell_length_a 11.2799
_cell_length_b 13.5407
_cell_length_c 6.6988
_cell_angle_alpha 90.00
_cell_angle_beta 90.00
_cell_angle_gamma 90.00
loop_
_symmetry_equiv_pos_as_xyz
'x,y,z'
'-x,-y,z+1/2'
'-x,y,z'
'x,-y,z+1/2'
'x+1/2,y+1/2,z'
'-x+1/2,-y+1/2,z+1/2'
'-x+1/2,y+1/2,z'
'x+1/2,-y+1/2,z+1/2'
loop_
_atom_site_label
_atom_site_type_symbol
_atom_site_fract_x
_atom_site_fract_y
_atom_site_fract_z
Pa1 Pa 0.0000 0.1095 0.0000
Pa2 Pa 0.1639 0.3970 0.9108
Pt1 Pt 0.0000 0.2821 0.2557
Se1 Se 0.0000 0.2706 0.6944
Se2 Se 0.0000 0.4738 0.2016
Se3 Se 0.1659 0.0323 0.7061
Se4 Se 0.1997 0.2258 0.1453
# M_tot ... 0.236 μB per atom
# Raw formation energy ... -1.178 eV per atom



Entry 4:
# LiInAs (GGA-PBE, relaxed)
data_LiInAs
_symmetry_space_group_name_H-M 'P 3 m 1'
_symmetry_Int_Tables_number 156
_cell_length_a 4.8906
_cell_length_b 4.8906
_cell_length_c 3.0634
_cell_angle_alpha 90.00
_cell_angle_beta 90.00
_cell_angle_gamma 120.00
loop_
_symmetry_equiv_pos_as_xyz
'x,y,z'
'-y,x-y,z'
'-x+y,-x,z'
'-y,-x,z'
'-x+y,y,z'
'x,x-y,z'
loop_
_atom_site_label
_atom_site_type_symbol
_atom_site_fract_x
_atom_site_fract_y
_atom_site_fract_z
Li1 Li 0.0000 0.0000 0.0000
In1 In 0.3333 0.6667 0.4958
As1 As 0.6667 0.3333 0.4984
# Offset from the most stable computed form ... 32 meV per atom
# M_tot ... 0.000 μB per atom



Entry 5:
# Fe2SnPbS (GGA-PBE, relaxed)
data_Fe2SnPbS
_symmetry_space_group_name_H-M 'P 4/m m m'
_symmetry_Int_Tables_number 123
_symmetry_space_group_name_Hall '-P 4 2'
_cell_length_a 4.3512
_cell_length_b 4.3512
_cell_length_c 5.6966
_cell_angle_alpha 90.00
_cell_angle_beta 90.00
_cell_angle_gamma 90.00
loop_
_atom_site_label
_atom_site_type_symbol
_atom_site_fract_x
_atom_site_fract_y
_atom_site_fract_z
Fe1 Fe 0.0000 0.5000 0.0000
Sn1 Sn 0.0000 0.0000 0.5000
Pb1 Pb 0.5000 0.5000 0.5000
S1 S 0.0000 0.0000 0.0000
# M_tot ... 0.986 μB per atom
# Raw formation energy ... 0.432 eV per atom



Entry 6:
# CePd6Pt (GGA-PBE, relaxed)
data_CePd6Pt
_symmetry_space_group_name_H-M 'R -3 m'
_symmetry_Int_Tables_number 166
_symmetry_space_group_name_Hall '-R 3 2"'
_cell_length_a 7.3295
_cell_length_b 7.3295
_cell_length_c 10.0790
_cell_angle_alpha 90.00
_cell_angle_beta 90.00
_cell_angle_gamma 120.00
loop_
_atom_site_label
_atom_site_type_symbol
_atom_site_fract_x
_atom_site_fract_y
_atom_site_fract_z
Ce1 Ce 0.0000 0.0000 0.0000
Pd1 Pd 0.0825 0.5412 0.3754
Pt1 Pt 0.0000 0.0000 0.5000
# Offset from the most stable computed form ... 459 meV per atom
# M_tot ... 0.000 μB per atom



Entry 7:
# ScIrOs2 (GGA-PBE, relaxed)
data_ScIrOs2
_symmetry_space_group_name_H-M 'I m m m'
_symmetry_Int_Tables_number 71
_symmetry_space_group_name_Hall '-I 2 2'
_cell_length_a 2.8156
_cell_length_b 4.4454
_cell_length_c 10.2565
_cell_angle_alpha 90.00
_cell_angle_beta 90.00
_cell_angle_gamma 90.00
loop_
_atom_site_label
_atom_site_type_symbol
_atom_site_fract_x
_atom_site_fract_y
_atom_site_fract_z
Sc1 Sc 0.0000 0.0000 0.0000
Ir1 Ir 0.0000 0.0000 0.5000
Os1 Os 0.0000 0.5000 0.2197
# Offset from the most stable computed form ... 134 meV per atom
# M_tot ... 0.000 μB per atom



Entry 8:
# Hg2AsRhO (GGA-PBE, relaxed)
data_Hg2AsRhO
_symmetry_space_group_name_H-M 'P 4/m m m'
_symmetry_Int_Tables_number 123
_symmetry_space_group_name_Hall '-P 4 2'
_cell_length_a 5.4329
_cell_length_b 5.4329
_cell_length_c 3.6510
_cell_angle_alpha 90.00
_cell_angle_beta 90.00
_cell_angle_gamma 90.00
loop_
_atom_site_label
_atom_site_type_symbol
_atom_site_fract_x
_atom_site_fract_y
_atom_site_fract_z
Hg1 Hg 0.0000 0.5000 0.0000
As1 As 0.0000 0.0000 0.5000
Rh1 Rh 0.5000 0.5000 0.0000
O1 O 0.5000 0.5000 0.5000
# M_tot ... 0.000 μB per atom
# Raw formation energy ... 0.148 eV per atom



Entry 9:
# Sr2LiBiO5 (GGA-PBE, relaxed)
data_Sr2LiBiO5
_symmetry_space_group_name_H-M 'C m c 21'
_symmetry_Int_Tables_number 36
_cell_length_a 3.4210
_cell_length_b 14.0946
_cell_length_c 11.2184
_cell_angle_alpha 90.00
_cell_angle_beta 90.00
_cell_angle_gamma 90.00
loop_
_symmetry_equiv_pos_as_xyz
'x,y,z'
'-x,-y,z+1/2'
'-x,y,z'
'x,-y,z+1/2'
'x+1/2,y+1/2,z'
'-x+1/2,-y+1/2,z+1/2'
'-x+1/2,y+1/2,z'
'x+1/2,-y+1/2,z+1/2'
loop_
_atom_site_label
_atom_site_type_symbol
_atom_site_fract_x
_atom_site_fract_y
_atom_site_fract_z
Sr1 Sr 0.0000 0.0814 0.0000
Sr2 Sr 0.0000 0.1261 0.6532
Li1 Li 0.0000 0.4481 0.7638
Bi1 Bi 0.0000 0.2078 0.3582
O1 O 0.0000 0.0605 0.3577
O2 O 0.0000 0.2773 0.9906
O3 O 0.0000 0.3011 0.7329
O4 O 0.0000 0.3558 0.3354
O5 O 0.0000 0.4944 0.1115
# M_tot ... 0.011 μB per atom
# Raw formation energy ... -1.925 eV per atom



Entry 10:
# Pa4Bi (GGA-PBE, relaxed)
data_Pa4Bi
_symmetry_space_group_name_H-M 'P m -3 m'
_symmetry_Int_Tables_number 221
_symmetry_space_group_name_Hall '-P 4 2 3'
_cell_length_a 5.7080
_cell_length_b 5.7080
_cell_length_c 5.7080
_cell_angle_alpha 90.00
_cell_angle_beta 90.00
_cell_angle_gamma 90.00
loop_
_atom_site_label
_atom_site_type_symbol
_atom_site_fract_x
_atom_site_fract_y
_atom_site_fract_z
Pa1 Pa 0.0000 0.0000 0.0000
Pa2 Pa 0.0000 0.5000 0.5000
Bi1 Bi 0.5000 0.5000 0.5000
# Energy ... -0.50052 Ry per atom
# M_tot ... 0.618 μB per atom



Entry 11:
# BaBe2Tl (GGA-PBE, relaxed)
data_BaBe2Tl
_symmetry_space_group_name_H-M 'P 4 m m'
_symmetry_Int_Tables_number 99
_cell_length_a 3.2744
_cell_length_b 3.2744
_cell_length_c 8.0499
_cell_angle_alpha 90.00
_cell_angle_beta 90.00
_cell_angle_gamma 90.00
loop_
_symmetry_equiv_pos_as_xyz
'x,y,z'
'-y,x,z'
'-x,-y,z'
'y,-x,z'
'-x,y,z'
'y,x,z'
'x,-y,z'
'-y,-x,z'
loop_
_atom_site_label
_atom_site_type_symbol
_atom_site_fract_x
_atom_site_fract_y
_atom_site_fract_z
Ba1 Ba 0.0000 0.0000 0.0000
Be1 Be 0.0000 0.0000 0.3932
Be2 Be 0.5000 0.5000 0.3160
Tl1 Tl 0.5000 0.5000 0.6429
# Offset from the most stable computed form ... 244 meV per atom
# M_tot ... 0.000 μB per atom



Entry 12:
# ReSbOs (GGA-PBE, relaxed)
data_ReSbOs
_symmetry_space_group_name_H-M 'P 3 m 1'
_symmetry_Int_Tables_number 156
_cell_length_a 2.9736
_cell_length_b 2.9736
_cell_length_c 6.5915
_cell_angle_alpha 90.00
_cell_angle_beta 90.00
_cell_angle_gamma 120.00
loop_
_symmetry_equiv_pos_as_xyz
'x,y,z'
'-y,x-y,z'
'-x+y,-x,z'
'-y,-x,z'
'-x+y,y,z'
'x,x-y,z'
loop_
_atom_site_label
_atom_site_type_symbol
_atom_site_fract_x
_atom_site_fract_y
_atom_site_fract_z
Re1 Re 0.0000 0.0000 0.0000
Sb1 Sb 0.6667 0.3333 0.3495
Os1 Os 0.3333 0.6667 0.6932
# Offset from the most stable computed form ... 86 meV per atom
# M_tot ... 0.000 μB per atom
# Raw formation energy ... 0.540 eV per atom